Here is Mn2GaSi2Ni5 after structural relaxation from the Alexandria database. Energies are from PBE-GGA.

Results
uncorrected energy	-6.415	eV/atom
volume	244.4	Å³ per cell
size of the total moment	7.3	μB/f.u.

a b c (Å): 3.5250 8.3259 8.3259
angles (deg): 90.00 90.00 90.00
With the nearest neighbours (Å) after each atom.
Element x y z (fractional)
Mn (0.0000, 0.6721, 0.1721)  3 Si 2.39-2.50
Mn (0.0000, 0.3279, 0.8279)  3 Si 2.39-2.50
Mn (0.0000, 0.1721, 0.3279)  3 Si 2.39-2.50
Mn (0.0000, 0.8279, 0.6721)  3 Si 2.39-2.50
Ga (0.0000, 0.0000, 0.0000)  8 Ni 2.52
Ga (0.0000, 0.5000, 0.5000)  8 Ni 2.52
Si (0.0000, 0.1250, 0.6250)  6 Ni 2.30-2.31, 3 Mn 2.39-2.50
Si (0.0000, 0.8750, 0.3750)  6 Ni 2.30-2.31, 3 Mn 2.39-2.50
Si (0.0000, 0.6250, 0.8750)  6 Ni 2.30-2.31, 3 Mn 2.39-2.50
Si (0.0000, 0.3750, 0.1250)  6 Ni 2.30-2.31, 3 Mn 2.39-2.50
Ni (0.5000, 0.2042, 0.0720)  2 Si 2.31, 2 Ga 2.52, 3 Ni 2.53-2.55
Ni (0.5000, 0.7958, 0.9280)  2 Si 2.31, 2 Ga 2.52, 3 Ni 2.53-2.55
Ni (0.5000, 0.0720, 0.7958)  2 Si 2.31, 2 Ga 2.52, 3 Ni 2.53-2.55
Ni (0.5000, 0.7042, 0.4280)  2 Si 2.31, 2 Ga 2.52, 3 Ni 2.53-2.55
Ni (0.5000, 0.9280, 0.2042)  2 Si 2.31, 2 Ga 2.52, 3 Ni 2.53-2.55
Ni (0.5000, 0.2958, 0.5720)  2 Si 2.31, 2 Ga 2.52, 3 Ni 2.53-2.55
Ni (0.5000, 0.5720, 0.7042)  2 Si 2.31, 2 Ga 2.52, 3 Ni 2.53-2.55
Ni (0.5000, 0.4280, 0.2958)  2 Si 2.31, 2 Ga 2.52, 3 Ni 2.53-2.55
Ni (0.5000, 0.5000, 0.0000)  4 Si 2.30, 4 Ni 2.53
Ni (0.5000, 0.0000, 0.5000)  4 Si 2.30, 4 Ni 2.53